DFT (GGA-PBE) results for a geometry-optimized La2Al4PtAu3 structure.

The structure in CIF format:
```
data_La2Al4PtAu3
_chemical_formula_sum 'La2 Al4 Pt1 Au3'
_cell_length_a 4.467
_cell_length_b 4.467
_cell_length_c 10.406
_cell_angle_alpha 90.00
_cell_angle_beta 90.00
_cell_angle_gamma 90.00
_symmetry_space_group_name_H-M 'P -4 m 2'
_symmetry_Int_Tables_number 115
_symmetry_space_group_name_Hall 'P -4 -2'
loop_
_atom_site_label
_atom_site_fract_x
_atom_site_fract_y
_atom_site_fract_z
La1 0.000 0.500 0.246
Al1 0.000 0.000 0.500
Al2 0.000 0.500 0.878
Al3 0.500 0.500 0.500
Pt1 0.500 0.500 0.000
Au1 0.000 0.000 0.000
Au2 0.000 0.500 0.632
```

Properties
size of the total moment	0.0	μB/cell
final energy	-4.9128	eV per atom